1.
Compound: Sr2ZnCdS
Source: Alexandria via LeMat-Bulk
Functional: PBEsol
Structure: relaxed

a b c (Å): 5.6018 5.6018 5.0541
angles (deg): 90.00 90.00 90.00
Element x y z (fractional)
Sr 0.0000 0.5000 0.0000
Sr 0.5000 0.0000 0.0000
Zn 0.0000 0.0000 0.5000
Cd 0.5000 0.5000 0.5000
S 0.5000 0.5000 0.0000

Crystal system: tetragonal
Formation energy without anion corrections: -2.2 eV/f.u.
SG: P4/mmm, No. 123
Total energy: -13.004 eV/f.u.

=====

2.
Compound: K2NiH12S2O14
Source: Alexandria via LeMat-Bulk
Functional: PBEsol
Structure: relaxed

a b c (Å): 6.1107 11.9684 8.8343
angles (deg): 90.00 104.35 90.00
Element x y z (fractional)
K 0.1614 0.1591 0.3639
K 0.1614 0.3409 0.8639
K 0.8386 0.6591 0.1361
K 0.8386 0.8409 0.6361
Ni 0.5000 0.0000 0.0000
Ni 0.5000 0.5000 0.5000
H 0.1601 0.5556 0.6031
H 0.1601 0.9444 0.1031
H 0.1707 0.6454 0.4714
H 0.1707 0.8546 0.9714
H 0.1799 0.0856 0.7853
H 0.1799 0.4144 0.2853
H 0.4157 0.1240 0.7491
H 0.4157 0.3760 0.2491
H 0.4192 0.5980 0.2263
H 0.4192 0.9020 0.7263
H 0.4938 0.6915 0.3584
H 0.4938 0.8085 0.8584
H 0.5062 0.1915 0.1416
H 0.5062 0.3085 0.6416
H 0.5808 0.0980 0.2737
H 0.5808 0.4020 0.7737
H 0.5843 0.6240 0.7509
H 0.5843 0.8760 0.2509
H 0.8201 0.5856 0.7147
H 0.8201 0.9144 0.2147
H 0.8293 0.1454 0.0286
H 0.8293 0.3546 0.5286
H 0.8399 0.0556 0.8969
H 0.8399 0.4444 0.3969
S 0.2208 0.6332 0.9104
S 0.2208 0.8668 0.4104
S 0.7792 0.1332 0.5896
S 0.7792 0.3668 0.0896
O 0.0736 0.7323 0.9115
O 0.0736 0.7677 0.4115
O 0.1070 0.5592 0.7784
O 0.1070 0.9408 0.2784
O 0.2006 0.5649 0.5009
O 0.2006 0.9351 0.0009
O 0.2506 0.5701 0.0581
O 0.2506 0.9299 0.5581
O 0.3358 0.1138 0.8340
O 0.3358 0.3862 0.3340
O 0.4446 0.6708 0.8887
O 0.4446 0.8292 0.3887
O 0.4686 0.1145 0.1715
O 0.4686 0.3855 0.6715
O 0.5314 0.6145 0.3285
O 0.5314 0.8855 0.8285
O 0.5554 0.1708 0.6113
O 0.5554 0.3292 0.1113
O 0.6642 0.6138 0.6660
O 0.6642 0.8862 0.1660
O 0.7494 0.0701 0.4419
O 0.7494 0.4299 0.9419
O 0.7994 0.0649 0.9991
O 0.7994 0.4351 0.4991
O 0.8930 0.0592 0.7216
O 0.8930 0.4408 0.2216
O 0.9264 0.2323 0.5885
O 0.9264 0.2677 0.0885

Crystal system: monoclinic
SG: P2_1/c, No. 14
Total energy: -170.387 eV/f.u.

=====

3.
Compound: YRhSe3
Source: Alexandria via LeMat-Bulk
Functional: PBEsol
Structure: relaxed

a b c (Å): 4.8087 4.8087 4.8087
angles (deg): 90.00 90.00 90.00
Element x y z (fractional)
Y 0.0000 0.0000 0.0000
Rh 0.5000 0.5000 0.5000
Se 0.0000 0.5000 0.5000
Se 0.5000 0.0000 0.5000
Se 0.5000 0.5000 0.0000

Offset from the most stable computed form: 0.0000 eV per atom
Crystal system: cubic
Formation energy without anion corrections: -2.7 eV/f.u.
SG: Pm-3m, No. 221
Total energy: -29.187 eV/f.u.

=====

4.
Compound: LiLaHgW2
Source: Alexandria via LeMat-Bulk
Functional: PBEsol
Structure: relaxed

a b c (Å): 5.0052 5.0052 5.6877
angles (deg): 90.00 90.00 90.00
Element x y z (fractional)
Li 0.0000 0.0000 0.0000
La 0.5000 0.5000 0.0000
Hg 0.5000 0.5000 0.5000
W 0.0000 0.5000 0.5000
W 0.5000 0.0000 0.5000

Energy of formation from the pure elements: 208.0 kJ per mole of atoms
Crystal system: tetragonal
SG: P4/mmm, No. 123
Total energy: -24.714 eV/f.u.

=====

5.
Compound: YScAl2
Source: Alexandria via LeMat-Bulk
Functional: PBEsol
Structure: relaxed

a b c (Å): 4.3912 5.9386 5.9386
angles (deg): 33.89 90.00 90.00
Element x y z (fractional)
Y 0.0000 0.0000 0.0000
Sc 0.5000 0.6827 0.6827
Al 0.0000 0.2673 0.2673
Al 0.5000 0.4020 0.4020

Energy of formation from the pure elements: -37.5 kJ per mole of atoms
Offset from the most stable computed form: 0.0549 eV per atom
Crystal system: orthorhombic
SG: Amm2, No. 38
Total energy: -23.165 eV/f.u.

=====

6.
Compound: AlBiBr3
Source: Alexandria via LeMat-Bulk
Functional: PBEsol
Structure: relaxed

a b c (Å): 5.7645 5.7645 5.7645
angles (deg): 90.00 90.00 90.00
Element x y z (fractional)
Al 0.0000 0.0000 0.0000
Bi 0.5000 0.5000 0.5000
Br 0.0000 0.5000 0.5000
Br 0.5000 0.0000 0.5000
Br 0.5000 0.5000 0.0000

Crystal system: cubic
Formation energy without anion corrections: -0.5 eV/f.u.
SG: Pm-3m, No. 221
Total energy: -14.464 eV/f.u.

=====

> Which formula does entry 2 have?

K2NiH12S2O14

=====

> Which value of total energy does entry 4 give?

-24.714 eV/f.u.